First-principles (PBE) data for a relaxed Nd6InRu2Br3 crystal, as listed in the Alexandria database.

Cell: 7.299 12.664 8.250 Å, 90.00 107.15 90.00°
Space group C2/m (No. 12)
One atom of each set of equivalent atoms:
Nd 0.196 0.000 0.205
Nd 0.246 0.187 0.795
In 0.000 0.500 0.000
Ru 0.000 0.166 0.000
Br 0.000 0.000 0.500
Br 0.000 0.334 0.500

The value obtained for the energy relative to the elements, uncorrected is -0.789 eV/atom.


First-principles (PBE) data for a relaxed Tl4Cu3SnCl12 crystal, as listed in the Alexandria database.

Cell: 10.000 10.000 10.000 Å, 90.00 90.00 90.00°
Space group Im-3m (No. 229)
One atom of each set of equivalent atoms:
Tl 0.250 0.250 0.250
Cu 0.000 0.000 0.500
Sn 0.000 0.000 0.000
Cl 0.000 0.000 0.251
Cl 0.000 0.250 0.500

The value obtained for the energy relative to the elements, uncorrected is -0.784 eV/atom.


First-principles (PBE) data for a relaxed CsCaBi crystal, as listed in the Alexandria database.

Cell: 9.232 5.580 13.219 Å, 90.00 90.00 90.00°
Space group Pnma (No. 62)
One atom of each set of equivalent atoms:
Cs 0.123 0.250 0.121
Ca 0.042 0.750 0.410
Bi 0.202 0.250 0.419

The calculation puts the formation energy at -0.50 eV per atom.


First-principles (PBE) data for a relaxed Pm3Si2Ge6 crystal, as listed in the Alexandria database.

Cell: 4.235 4.235 27.519 Å, 90.00 90.00 90.00°
Space group I4/mmm (No. 139)
One atom of each set of equivalent atoms:
Pm 0.000 0.000 0.000
Pm 0.000 0.000 0.167
Si 0.000 0.000 0.362
Ge 0.000 0.000 0.278
Ge 0.000 0.500 0.080

The value obtained for the energy relative to the elements, uncorrected is -0.378 eV/atom.


First-principles (PBE) data for a relaxed Zr2VCrN crystal, as listed in the Alexandria database.

Cell: 4.898 4.898 3.939 Å, 90.00 90.00 90.00°
Space group P4/mmm (No. 123)
One atom of each set of equivalent atoms:
Zr 0.000 0.500 0.000
V 0.000 0.000 0.500
Cr 0.000 0.000 0.000
N 0.500 0.500 0.500

The value obtained for the energy relative to the elements, uncorrected is 1.328 eV/atom.


In A^3/atom, the volume values for the records above are, in order, 30.360, 25.002, 56.751, 22.439, 18.904.